Entry 1:
A relaxed AcIn2GaRh4 crystal. Source: Alexandria via LeMat-Bulk, functional PBE.

Summary:
The value obtained for the calculated total energy is -0.2128 hartree per atom. As for the crystal system: trigonal.

Geometry as POSCAR:
```
AcIn2GaRh4
1.0
-2.1710 2.7628 -2.8294
-3.4937 -1.5297 -2.4095
-7.2763 2.6938 4.6169
Ga Ac In Rh
1 1 2 4
direct
0.5000 0.5000 0.5000 Ga
0.0000 0.0000 0.0000 Ac
0.7607 0.7607 0.7180 In
0.2393 0.2393 0.2820 In
0.5965 0.5965 0.2104 Rh
0.1328 0.1328 0.6015 Rh
0.4035 0.4035 0.7896 Rh
0.8672 0.8672 0.3985 Rh
```

Entry 2:
A relaxed AcScInGa crystal. Source: Alexandria via LeMat-Bulk, functional PBE.

Summary:
The value obtained for the calculated total energy is -0.1619 hartree per atom. As for the crystal system: cubic.

Geometry as POSCAR:
```
AcScInGa
1.0
-0.7077 2.3270 -4.7578
-4.9304 1.1734 -1.6933
-1.5896 5.0943 -0.2726
Ga In Sc Ac
1 1 1 1
direct
0.2500 0.2500 0.2500 Ga
0.7500 0.7500 0.7500 In
0.5000 0.5000 0.5000 Sc
0.0000 0.0000 0.0000 Ac
```

Entry 3:
A relaxed AcInGaSn crystal. Source: Alexandria via LeMat-Bulk, functional PBE.

Summary:
The value obtained for the calculated total energy is -0.1369 hartree per atom. As for the crystal system: cubic.

Geometry as POSCAR:
```
AcInGaSn
1.0
5.4527 0.0000 0.0000
2.7264 4.7222 0.0000
2.7264 1.5741 4.4521
In Ac Sn Ga
1 1 1 1
direct
0.0000 0.0000 0.0000 In
0.7500 0.7500 0.7500 Ac
0.2500 0.2500 0.2500 Sn
0.5000 0.5000 0.5000 Ga
```

Entry 4:
A relaxed SrAcInGa crystal. Source: Alexandria via LeMat-Bulk, functional PBE.

Summary:
The calculation puts the relative energy among the computed polymorphs at 33 meV per atom. As for the crystal system: cubic.

Geometry as POSCAR:
```
SrAcInGa
1.0
-4.6136 3.0357 1.3307
-3.5427 1.7250 -4.0922
-5.1614 -2.3288 -0.4565
Ac Sr Ga In
1 1 1 1
direct
0.0000 0.0000 0.0000 Ac
0.5000 0.5000 0.5000 Sr
0.2500 0.2500 0.2500 Ga
0.7500 0.7500 0.7500 In
```

Entry 5:
A relaxed SrAcInGa crystal. Source: Alexandria via LeMat-Bulk, functional PBE.

Summary:
The calculation puts the relative energy among the computed polymorphs at 0 meV per atom. As for the crystal system: orthorhombic.

Geometry as POSCAR:
```
SrAcInGa
1.0
-2.2395 3.8767 1.8300
-3.2482 -0.3931 -3.1423
-2.1066 -5.5923 2.8772
Ga In Ac Sr
1 1 1 1
direct
0.3184 0.0000 0.6368 Ga
0.4618 0.5000 0.9236 In
0.7541 0.5000 0.5081 Ac
0.0353 0.0000 0.0707 Sr
```

Entry 6:
A relaxed AcTbInGa crystal. Source: Alexandria via LeMat-Bulk, functional PBE.

Summary:
The value obtained for the calculated total energy is -0.1487 hartree per atom. As for the crystal system: cubic.

Geometry as POSCAR:
```
AcTbInGa
1.0
-2.5452 4.3252 -2.1819
-1.6636 -0.1461 -5.2112
-5.3411 -0.2668 -1.1607
Tb In Ac Ga
1 1 1 1
direct
0.0000 0.0000 0.0000 Tb
0.7500 0.7500 0.7500 In
0.5000 0.5000 0.5000 Ac
0.2500 0.2500 0.2500 Ga
```

Entry 7:
A relaxed AcThInGa crystal. Source: Alexandria via LeMat-Bulk, functional PBE.

Summary:
The value obtained for the calculated total energy is -0.1693 hartree per atom. As for the crystal system: cubic.

Geometry as POSCAR:
```
AcThInGa
1.0
-1.3714 1.2101 -5.2105
3.2627 -1.6023 -4.1572
-1.6539 -4.0066 -3.4215
Ac Ga Th In
1 1 1 1
direct
0.5000 0.5000 0.5000 Ac
0.2500 0.2500 0.2500 Ga
0.0000 0.0000 0.0000 Th
0.7500 0.7500 0.7500 In
```

Entry 8:
A relaxed Ac4TlIn2Ga crystal. Source: Alexandria via LeMat-Bulk, functional PBE.

Summary:
The value obtained for the calculated total energy is -0.1401 hartree per atom. As for the crystal system: trigonal.

Geometry as POSCAR:
```
Ac4TlIn2Ga
1.0
-2.9315 3.0171 3.9538
-4.2164 -2.5336 3.0219
3.8455 -2.3815 8.8834
Tl Ac In Ga
1 4 2 1
direct
0.0000 0.0000 0.0000 Tl
0.6206 0.6206 0.1381 Ac
0.8709 0.8709 0.3874 Ac
0.1291 0.1291 0.6126 Ac
0.3794 0.3794 0.8619 Ac
0.7474 0.7474 0.7577 In
0.2526 0.2526 0.2423 In
0.5000 0.5000 0.5000 Ga
```